# BaTl2AsF6 PBE optimized geometry
# energy: -4.409 eV/atom
# spin magnetization: 0.0 μB/f.u.
data_BaTl2AsF6
_symmetry_space_group_name_H-M 'P 1'
_symmetry_Int_Tables_number 1
_symmetry_space_group_name_Hall 'P 1'
_cell_length_a 6.657
_cell_length_b 6.676
_cell_length_c 6.680
_cell_angle_alpha 60.24
_cell_angle_beta 60.16
_cell_angle_gamma 60.12
loop_
_atom_site_label
_atom_site_fract_x
_atom_site_fract_y
_atom_site_fract_z
_atom_site_occupancy
Ba1 0.000 0.000 0.000 1
Tl1 0.248 0.252 0.254 1
Tl2 0.752 0.748 0.746 1
As1 0.500 0.500 0.500 1
F1 0.275 0.721 0.280 1
F2 0.276 0.722 0.724 1
F3 0.278 0.276 0.721 1
F4 0.722 0.724 0.279 1
F5 0.724 0.278 0.276 1
F6 0.725 0.279 0.720 1